Na8Zn4O11 | the Open Quantum Materials Database | PBE | optimized geometry; energy = -94.73 eV per cell
1.0
5.4514 0.0000 0.0000
1.1104 5.5724 0.0000
0.8904 2.5273 8.9932
Na Zn O
8 4 11
direct
0.0000 0.0000 0.0000
0.0070 0.7242 0.3208
0.2404 0.7351 0.7483
0.4735 0.1680 0.8284
0.5184 0.8265 0.1671
0.5519 0.4584 0.4910
0.7558 0.2585 0.2440
0.9859 0.2673 0.6828
0.2508 0.4290 0.0811
0.2704 0.1177 0.4035
0.7073 0.8862 0.5927
0.7423 0.5743 0.9153
0.0822 0.3837 0.8928
0.1734 0.0894 0.2151
0.3506 0.4537 0.2902
0.3660 0.1256 0.5970
0.4022 0.7424 0.9640
0.5939 0.2674 0.0249
0.5979 0.8629 0.4037
0.6468 0.5535 0.6968
0.8234 0.8998 0.7807
0.9124 0.6197 0.1071
0.9216 0.1178 0.4829



Na11Zn2O8 | the Open Quantum Materials Database | PBE | optimized geometry; energy = -82.60 eV per cell; E above lowest polymorph = 0 meV/atom
1.0
7.3001 0.0000 0.0000
0.0000 7.3970 0.0000
0.0000 0.0000 5.3920
Na Zn O
11 2 8
direct
0.0000 0.0000 0.0000
0.0000 0.0000 0.4937
0.2363 0.3025 0.4090
0.2363 0.6975 0.4090
0.2880 0.2107 0.9186
0.2880 0.7893 0.9186
0.5000 0.5000 0.8264
0.7120 0.2107 0.9186
0.7120 0.7893 0.9186
0.7637 0.3025 0.4090
0.7637 0.6975 0.4090
0.0000 0.5000 0.9017
0.5000 0.0000 0.4253
0.0000 0.2563 0.7226
0.0000 0.7437 0.7226
0.2387 0.5000 0.0756
0.2566 0.0000 0.2338
0.5000 0.2312 0.6164
0.5000 0.7688 0.6164
0.7434 0.0000 0.2338
0.7613 0.5000 0.0756



Na8ZrO6 | the Open Quantum Materials Database | PBE | optimized geometry; energy = -73.96 eV per cell
1.0
3.1242 1.8038 5.6535
-3.1242 1.8038 5.6535
0.0000 -3.6076 5.6535
Na Zr O
8 1 6
direct
0.0021 0.5969 0.2539
0.1606 0.1606 0.1606
0.2539 0.0021 0.5969
0.4031 0.7461 0.9979
0.5969 0.2539 0.0021
0.7461 0.9979 0.4031
0.8394 0.8394 0.8394
0.9979 0.4031 0.7461
0.5000 0.5000 0.5000
0.1453 0.7208 0.4144
0.2792 0.5856 0.8547
0.4144 0.1453 0.7208
0.5856 0.8547 0.2792
0.7208 0.4144 0.1453
0.8547 0.2792 0.5856



Na6ZrO5 | the Open Quantum Materials Database | PBE | optimized geometry; energy = -63.52 eV per cell
1.0
-3.8242 3.8242 2.7289
3.8242 -3.8242 2.7289
3.8242 3.8242 -2.7289
Na Zr O
6 1 5
direct
0.0000 0.5000 0.5000
0.1993 0.1993 0.6025
0.1993 0.5968 0.0000
0.5000 0.0000 0.5000
0.5968 0.1993 0.0000
0.5968 0.5968 0.3975
0.8470 0.8470 0.0000
0.0076 0.7417 0.2658
0.2153 0.2153 0.0000
0.4759 0.7417 0.7342
0.7417 0.0076 0.2658
0.7417 0.4759 0.7342